(1)
{
  "formula": "DyCuAg",
  "functional": "GGA-PBE",
  "state": "relaxed",
  "ef_ev_per_fu": -0.3,
  "sg": "F-43m",
  "n_ef_per_ev_cell": 2.24,
  "total_magnetization_mub_per_cell": 0.00,
  "relative_energy_ev_per_atom": 0.189,
  "lattice": [[0.000, 3.217, 3.217], [3.217, 0.000, 3.217], [3.217, 3.217, 0.000]],
  "species": ["Dy", "Cu", "Ag"],
  "frac_coords": [[0.000, 0.000, 0.000], [0.250, 0.250, 0.250], [0.500, 0.500, 0.500]]
}

(2)
{
  "formula": "Cs2BiSeF3",
  "functional": "GGA-PBE",
  "state": "relaxed",
  "formation_energy_uncorrected_mev_per_atom": -2017,
  "sg": "Immm",
  "total_magnetization_mub_per_cell": 0.00,
  "lattice": [[-2.393, 2.845, 7.773], [2.393, -2.845, 7.773], [2.393, 2.845, -7.773]],
  "species": ["Cs", "Cs", "Bi", "Se", "F", "F", "F"],
  "frac_coords": [[0.162, 0.162, 0.000], [0.838, 0.838, 0.000], [0.500, 0.500, 0.000], [0.000, 0.500, 0.500], [0.351, 0.351, 0.000], [0.500, 0.000, 0.500], [0.649, 0.649, 0.000]]
}

(3)
{
  "formula": "PmZrAg",
  "functional": "GGA-PBE",
  "state": "relaxed",
  "ef_ev_per_fu": -0.1,
  "sg": "I4mm",
  "n_ef_per_ev_cell": 3.65,
  "total_magnetization_mub_per_cell": 0.00,
  "lattice": [[-1.719, 1.719, 6.304], [1.719, -1.719, 6.304], [1.719, 1.719, -6.304]],
  "species": ["Pm", "Zr", "Ag"],
  "frac_coords": [[0.000, 0.000, 0.000], [0.316, 0.316, 0.000], [0.680, 0.680, 0.000]]
}

(4)
{
  "formula": "Tb5Pr3Ho",
  "functional": "GGA-PBE",
  "state": "relaxed",
  "ef_ev_per_fu": 4.6,
  "sg": "C2/m",
  "n_ef_per_ev_cell": 26.23,
  "total_magnetization_mub_per_cell": 0.00,
  "lattice": [[7.706, -5.733, 0.000], [7.706, 5.733, 0.000], [-6.479, 0.000, 7.648]],
  "species": ["Tb", "Tb", "Tb", "Tb", "Tb", "Tb", "Tb", "Tb", "Tb", "Tb", "Pr", "Pr", "Pr", "Pr", "Pr", "Pr", "Ho", "Ho"],
  "frac_coords": [[0.091, 0.592, 0.250], [0.221, 0.221, 0.227], [0.244, 0.756, 0.000], [0.277, 0.277, 0.961], [0.408, 0.909, 0.750], [0.592, 0.091, 0.250], [0.723, 0.723, 0.039], [0.756, 0.244, 0.000], [0.779, 0.779, 0.773], [0.909, 0.408, 0.750], [0.000, 0.000, 0.500], [0.007, 0.007, 0.811], [0.479, 0.479, 0.641], [0.500, 0.500, 0.000], [0.521, 0.521, 0.359], [0.993, 0.993, 0.189], [0.253, 0.253, 0.600], [0.747, 0.747, 0.400]]
}